GGA-PBEsol SrCaPt2, relaxed; crystal system = cubic; final energy = -5.15 eV/atom; symmetry = No. 225; distance to the lowest polymorph of the same formula = 0 meV per atom; E_form = -2.70 eV per formula unit
1.0
-1.733 4.465 1.372
-3.310 0.356 3.707
1.358 1.963 4.373
Sr Ca Pt
1 1 2
Direct
0.000 0.000 0.000
0.500 0.500 0.500
0.250 0.250 0.250
0.750 0.750 0.750